1.
DFT (PBE) results for a relaxed Al2MoCl crystal.

POSCAR file:
```
Al2MoCl
1.0
2.900 0.000 0.000
0.000 2.900 0.000
0.000 0.000 9.070
Al Mo Cl
2 1 1
Cartesian
0.000 0.000 0.000
1.450 1.450 2.043
1.450 1.450 7.204
0.000 0.000 5.594
```

**Formation energy from raw total energies**: 0.099 eV/atom

2.
DFT (PBE) results for a relaxed LiSbAs2Os crystal.

POSCAR file:
```
LiSbAs2Os
1.0
4.338 0.000 0.000
0.000 4.338 0.000
0.000 0.000 4.899
Li Sb As Os
1 1 2 1
Cartesian
0.000 0.000 0.000
0.000 0.000 2.449
0.000 2.169 0.000
2.169 0.000 0.000
2.169 2.169 2.449
```

**Formation energy from raw total energies**: 1.075 eV/atom

3.
DFT (PBE) results for a relaxed CeY2HoTm crystal.

POSCAR file:
```
CeY2HoTm
1.0
5.794 0.000 0.000
0.000 7.525 0.000
0.000 0.000 7.383
Ce Y Ho Tm
2 4 2 2
Cartesian
0.000 0.000 0.000
2.897 0.000 0.000
1.449 2.176 2.407
1.449 5.349 2.407
4.346 2.176 4.977
4.346 5.349 4.977
1.449 3.763 6.271
4.346 3.763 1.112
1.449 0.000 4.579
4.346 0.000 2.805
```

**ΔH_f (0 K)**: 0.30 eV/atom

4.
DFT (PBE) results for a relaxed AcHf2NiAs4 crystal.

POSCAR file:
```
AcHf2NiAs4
1.0
1.977 -6.645 0.000
1.977 6.645 0.000
0.000 0.000 13.380
Ac Hf Ni As
2 4 2 8
Cartesian
1.977 5.123 10.035
1.977 -5.123 3.345
1.977 1.734 7.518
1.977 1.734 12.552
1.977 -1.734 0.828
1.977 -1.734 5.862
1.977 4.597 3.345
1.977 -4.597 10.035
0.000 0.000 0.000
0.000 0.000 6.690
1.977 3.129 1.498
1.977 3.129 5.193
1.977 0.821 10.035
1.977 -0.821 3.345
1.977 -3.129 8.188
1.977 -3.129 11.883
```

**ΔH_f (0 K)**: -0.93 eV/atom

5.
DFT (PBE) results for a relaxed NdPu2O11 crystal.

POSCAR file:
```
NdPu2O11
1.0
-5.403 5.123 4.230
5.403 -5.123 4.230
5.403 5.123 -4.230
Nd Pu O
2 4 22
Cartesian
0.000 0.000 0.000
5.403 0.000 0.000
2.701 -2.427 2.235
2.701 2.846 1.812
2.701 7.550 -1.995
2.701 2.277 6.042
1.382 -1.187 1.642
4.020 -1.187 1.642
1.378 1.852 0.961
4.024 1.852 0.961
2.701 4.328 -1.010
4.020 6.311 -2.587
6.785 1.187 1.642
2.701 -1.867 4.401
2.701 0.796 3.219
2.701 4.710 0.198
2.701 0.413 4.428
-1.377 3.636 2.810
1.385 3.866 2.617
4.018 3.866 2.617
6.779 3.636 2.810
2.701 6.990 0.171
-1.385 6.380 2.617
1.385 1.257 6.847
1.378 3.271 5.190
4.024 3.271 5.190
1.377 6.611 2.810
-1.377 1.487 7.039
```

**Formation energy from raw total energies**: -1.898 eV/atom

6.
DFT (PBE) results for a relaxed Ca4PrPa3As8 crystal.

POSCAR file:
```
Ca4PrPa3As8
1.0
4.215 2.434 6.832
-4.215 2.434 6.832
0.000 -4.867 6.832
Ca Pr Pa As
4 1 3 8
Cartesian
0.000 0.000 0.000
-2.108 -1.217 6.832
-2.108 1.217 13.664
0.000 2.434 6.832
0.000 0.000 10.248
-4.215 0.000 10.248
-2.108 1.217 3.416
2.108 1.217 3.416
-2.186 -1.262 11.855
0.000 0.000 5.005
0.000 -2.524 8.640
-2.186 1.262 8.640
2.186 -1.262 11.855
0.000 2.524 11.855
0.000 0.000 15.491
2.186 1.262 8.640
```

**ΔH_f (0 K)**: -1.21 eV/atom

7.
DFT (PBE) results for a relaxed LiCdRe2Br crystal.

POSCAR file:
```
LiCdRe2Br
1.0
4.386 0.000 0.000
0.000 4.386 0.000
0.000 0.000 4.577
Li Cd Re Br
1 1 2 1
Cartesian
0.000 0.000 0.000
0.000 0.000 2.289
0.000 2.193 0.000
2.193 0.000 0.000
2.193 2.193 2.289
```

**Formation energy from raw total energies**: 1.858 eV/atom

8.
DFT (PBE) results for a relaxed LiP2Cl crystal.

POSCAR file:
```
LiP2Cl
1.0
-1.729 1.729 15.562
1.729 -1.729 15.562
1.729 1.729 -15.562
Li P Cl
2 4 2
Cartesian
0.000 0.000 0.000
0.000 1.729 7.781
2.593 0.652 -3.891
0.652 0.864 3.891
-0.864 1.077 11.672
1.077 0.864 19.453
1.729 0.000 7.781
0.000 0.000 15.562
```

**Formation energy from raw total energies**: -0.561 eV/atom

9.
DFT (PBE) results for a relaxed Ge3PPb crystal.

POSCAR file:
```
Ge3PPb
1.0
4.909 0.000 0.000
0.000 4.909 0.000
0.000 0.000 4.909
Ge P Pb
3 1 1
Cartesian
0.000 0.000 2.455
0.000 2.455 0.000
2.455 0.000 0.000
0.000 0.000 0.000
2.455 2.455 2.455
```

**ΔH_f (0 K)**: 0.47 eV/atom

10.
DFT (PBE) results for a relaxed SrIn2HgRh crystal.

POSCAR file:
```
SrIn2HgRh
1.0
5.128 0.000 0.000
0.000 5.128 0.000
0.000 0.000 5.348
Sr In Hg Rh
1 2 1 1
Cartesian
0.000 0.000 0.000
0.000 2.564 2.674
2.564 0.000 2.674
2.564 2.564 0.000
2.564 2.564 2.674
```

**ΔH_f (0 K)**: -0.30 eV/atom

11.
DFT (PBE) results for a relaxed SrSiMo2 crystal.

POSCAR file:
```
SrSiMo2
1.0
1.598 0.923 9.003
-1.598 0.923 9.003
0.000 -1.845 9.003
Sr Si Mo
1 1 2
Cartesian
0.000 0.000 0.000
0.000 0.000 20.577
0.000 0.000 6.285
0.000 0.000 13.417
```

**Formation energy from raw total energies**: 0.522 eV/atom

12.
DFT (PBE) results for a relaxed Pr2ErMnN4 crystal.

POSCAR file:
```
Pr2ErMnN4
1.0
1.711 -6.007 0.000
1.711 6.007 0.000
0.000 0.000 12.126
Pr Er Mn N
4 2 2 8
Cartesian
1.711 4.415 6.570
1.711 4.415 11.618
1.711 -4.415 0.507
1.711 -4.415 5.556
1.711 1.603 9.094
1.711 -1.603 3.031
1.711 1.899 3.031
1.711 -1.899 9.094
1.711 4.890 9.094
1.711 3.286 1.730
1.711 3.286 4.333
1.711 0.000 0.000
1.711 0.000 6.063
1.711 -3.286 7.793
1.711 -3.286 10.396
1.711 -4.890 3.031
```

**Formation energy from raw total energies**: -0.885 eV/atom

13.
DFT (PBE) results for a relaxed ZrMn2Te crystal.

POSCAR file:
```
ZrMn2Te
1.0
3.349 0.000 0.000
0.000 4.509 0.000
-0.165 0.000 5.085
Zr Mn Te
1 2 1
Cartesian
0.000 0.000 0.000
0.968 2.254 3.910
2.216 2.254 1.175
1.592 0.000 2.543
```

**Formation energy from raw total energies**: 0.136 eV/atom

14.
DFT (PBE) results for a relaxed Co4RuAu crystal.

POSCAR file:
```
Co4RuAu
1.0
0.000 3.368 3.368
3.368 0.000 3.368
3.368 3.368 0.000
Co Ru Au
4 1 1
Cartesian
0.844 0.844 0.844
2.524 2.524 0.844
2.524 0.844 2.524
0.844 2.524 2.524
3.368 3.368 3.368
5.052 5.052 5.052
```

**ΔH_f (0 K)**: 0.20 eV/atom

15.
DFT (PBE) results for a relaxed TlPdSe2Br crystal.

POSCAR file:
```
TlPdSe2Br
1.0
5.423 0.000 0.000
0.000 5.423 0.000
0.000 0.000 5.346
Tl Pd Se Br
1 1 2 1
Cartesian
0.000 0.000 0.000
0.000 0.000 2.673
0.000 2.712 0.000
2.712 0.000 0.000
2.712 2.712 2.673
```

**Formation energy from raw total energies**: 0.759 eV/atom

16.
DFT (PBE) results for a relaxed CeTmScIn crystal.

POSCAR file:
```
CeTmScIn
1.0
0.000 3.706 3.706
3.706 0.000 3.706
3.706 3.706 0.000
Ce Tm Sc In
1 1 1 1
Cartesian
0.000 0.000 0.000
5.559 5.559 5.559
1.853 1.853 1.853
3.706 3.706 3.706
```

**ΔH_f (0 K)**: -0.08 eV/atom

17.
DFT (PBE) results for a relaxed LiLaP2 crystal.

POSCAR file:
```
LiLaP2
1.0
0.000 3.451 3.451
3.451 0.000 3.451
3.451 3.451 0.000
Li La P
1 1 2
Cartesian
0.000 0.000 0.000
3.451 3.451 3.451
1.725 1.725 1.725
5.176 5.176 5.176
```

**ΔH_f (0 K)**: -0.66 eV/atom

18.
DFT (PBE) results for a relaxed ZnGeBr4 crystal.

POSCAR file:
```
ZnGeBr4
1.0
5.879 0.000 0.000
0.000 5.894 0.000
-0.115 0.000 25.782
Zn Ge Br
4 4 16
Cartesian
1.457 0.106 3.224
1.400 2.841 16.115
4.364 3.053 9.667
4.307 5.788 22.557
1.378 0.091 9.648
1.320 2.856 22.539
4.444 3.038 3.243
4.386 5.803 16.134
0.039 4.142 17.676
0.096 4.699 4.785
0.125 1.421 1.654
0.067 1.526 14.545
2.735 1.448 17.633
2.793 1.499 4.742
2.778 4.245 14.637
2.835 4.596 1.746
2.929 1.298 24.036
2.986 1.649 11.145
2.971 4.395 21.040
3.029 4.446 8.149
5.697 4.368 11.237
5.639 4.473 24.128
5.668 1.195 20.996
5.725 1.752 8.106
```

**Formation energy from raw total energies**: -0.649 eV/atom

19.
DFT (PBE) results for a relaxed Li4NiRh crystal.

POSCAR file:
```
Li4NiRh
1.0
4.880 0.000 0.000
0.000 4.302 0.000
-2.437 0.000 7.446
Li Ni Rh
8 2 2
Cartesian
-0.007 1.075 0.619
-0.013 1.075 3.102
-0.014 3.226 4.344
-0.003 3.226 6.828
2.446 1.075 0.619
2.457 1.075 3.102
2.456 3.226 4.344
2.450 3.226 6.827
1.218 3.226 1.893
1.225 1.075 5.553
-1.216 1.075 5.601
3.659 3.226 1.845
```

**ΔH_f (0 K)**: -0.08 eV/atom

20.
DFT (PBE) results for a relaxed Sm2HoPuSe4 crystal.

POSCAR file:
```
Sm2HoPuSe4
1.0
7.165 0.000 0.000
0.000 4.114 0.000
-2.354 0.000 6.784
Sm Ho Pu Se
2 1 1 4
Cartesian
0.000 0.000 0.000
3.582 2.057 0.000
-1.177 2.057 3.392
2.405 0.000 3.392
0.002 0.000 5.033
1.181 2.057 1.734
3.630 2.057 5.050
4.809 0.000 1.750
```

**Formation energy from raw total energies**: -1.741 eV/atom